(1)
First-principles (GGA-PBE) data for a relaxed LiCa2Al4Pt3 crystal, as listed in Alexandria via LeMat-Bulk.

Its formation energy from the elements is -0.86 eV/atom.

The space group is P-4m2 (No. 115) and the conventional cell measures 4.375, 4.375 and 10.005 Å, with angles of 90.00, 90.00 and 90.00 degrees. The inequivalent atoms are Li at (0.000, 0.000, 0.000), Ca at (0.000, 0.500, 0.753), Al at (0.000, 0.000, 0.500), Al at (0.000, 0.500, 0.122), Al at (0.500, 0.500, 0.500), Pt at (0.000, 0.500, 0.369) and Pt at (0.500, 0.500, 0.000).


(2)
First-principles (GGA-PBE) data for a relaxed MgFeNi2 crystal, as listed in Alexandria via LeMat-Bulk.

Its formation energy from the elements is 0.00 eV/atom.

The space group is Cm (No. 8) and the conventional cell measures 8.843, 2.641 and 4.421 Å, with angles of 90.00, 102.71 and 90.00 degrees. The inequivalent atoms are Mg at (0.000, 0.000, 0.000), Fe at (0.269, 0.500, 0.319), Ni at (0.011, 0.500, 0.504) and Ni at (0.245, 0.000, 0.788).


(3)
First-principles (GGA-PBE) data for a relaxed TaTe2Os crystal, as listed in Alexandria via LeMat-Bulk.

As for the polymorph energy (0 for the lowest one): 463 meV per atom.

The space group is P4/mmm (No. 123) and the conventional cell measures 4.747, 4.747 and 3.358 Å, with angles of 90.00, 90.00 and 90.00 degrees. The inequivalent atoms are Ta at (0.000, 0.000, 0.000), Te at (0.000, 0.500, 0.500) and Os at (0.500, 0.500, 0.000).


(4)
First-principles (GGA-PBE) data for a relaxed La2PrTm7 crystal, as listed in Alexandria via LeMat-Bulk.

Its formation energy from the elements is 0.03 eV/atom.

The space group is P-1 (No. 2) and the conventional cell measures 5.055, 7.113 and 9.451 Å, with angles of 101.40, 105.50 and 90.11 degrees. The inequivalent atoms are La at (0.197, 0.103, 0.394), Pr at (0.000, 0.500, 0.000), Tm at (0.000, 0.000, 0.000), Tm at (0.199, 0.600, 0.399), Tm at (0.401, 0.697, 0.801) and Tm at (0.402, 0.200, 0.803).


(5)
First-principles (GGA-PBE) data for a relaxed Pm3MgAg3 crystal, as listed in Alexandria via LeMat-Bulk.

Its formation energy from the elements is -0.12 eV/atom.

The space group is C2/m (No. 12) and the conventional cell measures 9.774, 10.709 and 7.137 Å, with angles of 90.00, 92.51 and 90.00 degrees. The inequivalent atoms are Pm at (0.000, 0.169, 0.000), Pm at (0.000, 0.268, 0.500), Pm at (0.142, 0.500, 0.871), Mg at (0.228, 0.500, 0.359), Ag at (0.086, 0.000, 0.338) and Ag at (0.241, 0.265, 0.218).


(6)
First-principles (GGA-PBE) data for a relaxed In12Ga6Ag crystal, as listed in Alexandria via LeMat-Bulk.

Its formation energy from the elements is 0.05 eV/atom.

The space group is R-3 (No. 148, hexagonal axes) and the conventional cell measures 12.0930, 12.0930 and 11.0669 Å, with angles of 90.00, 90.00 and 120.00 degrees. The inequivalent atoms are In at (0.0443, 0.4803, 0.1266), In at (0.0844, 0.9060, 0.7556), Ga at (0.0169, 0.2378, 0.0083) and Ag at (0.0000, 0.0000, 0.5000).


(7)
First-principles (GGA-PBE) data for a relaxed PaInS2 crystal, as listed in Alexandria via LeMat-Bulk.

As for the polymorph energy (0 for the lowest one): 0 meV per atom.

The space group is R3m (No. 160, hexagonal axes) and the conventional cell measures 3.8722, 3.8722 and 24.8740 Å, with angles of 90.00, 90.00 and 120.00 degrees. The inequivalent atoms are Pa at (0.0000, 0.0000, 0.0000), In at (0.0000, 0.0000, 0.8365), S at (0.0000, 0.0000, 0.3968) and S at (0.0000, 0.0000, 0.6024).


(8)
First-principles (GGA-PBE) data for a relaxed NdY6Tm4 crystal, as listed in Alexandria via LeMat-Bulk.

As for the polymorph energy (0 for the lowest one): 0 meV per atom. Its formation energy from the elements is 0.12 eV/atom.

The space group is Cmcm (No. 63) and the conventional cell measures 5.644, 9.723 and 25.721 Å, with angles of 90.00, 90.00 and 90.00 degrees. The inequivalent atoms are Nd at (0.000, 0.171, 0.250), Y at (0.000, 0.162, 0.680), Y at (0.000, 0.171, 0.101), Y at (0.000, 0.496, 0.750), Y at (0.000, 0.500, 0.000), Tm at (0.000, 0.165, 0.542) and Tm at (0.000, 0.494, 0.621).


(9)
First-principles (GGA-PBE) data for a relaxed Ba2HfMnSe5 crystal, as listed in Alexandria via LeMat-Bulk.

The final energy is -5.942 eV/atom.

The space group is Cmc2_1 (No. 36) and the conventional cell measures 4.191, 18.905 and 13.221 Å, with angles of 90.00, 90.00 and 90.00 degrees. The inequivalent atoms are Ba at (0.000, 0.114, 0.000), Ba at (0.000, 0.125, 0.626), Hf at (0.000, 0.207, 0.333), Mn at (0.000, 0.432, 0.755), Se at (0.000, 0.065, 0.362), Se at (0.000, 0.288, 0.966), Se at (0.000, 0.303, 0.691), Se at (0.000, 0.345, 0.317) and Se at (0.000, 0.497, 0.595).


(10)
First-principles (GGA-PBE) data for a relaxed Cs2PdSeBr6 crystal, as listed in Alexandria via LeMat-Bulk.

The final energy is -2.887 eV/atom.

The space group is I4/mmm (No. 139) and the conventional cell measures 7.702, 7.702 and 10.908 Å, with angles of 90.00, 90.00 and 90.00 degrees. The inequivalent atoms are Cs at (0.000, 0.500, 0.250), Pd at (0.000, 0.000, 0.000), Se at (0.000, 0.000, 0.500), Br at (0.000, 0.000, 0.244) and Br at (0.241, 0.241, 0.000).


(11)
First-principles (GGA-PBE) data for a relaxed NaPr2Ge3Pd4 crystal, as listed in Alexandria via LeMat-Bulk.

Its formation energy from the elements is -0.70 eV/atom.

The space group is P-4m2 (No. 115) and the conventional cell measures 4.333, 4.333 and 10.661 Å, with angles of 90.00, 90.00 and 90.00 degrees. The inequivalent atoms are Na at (0.000, 0.000, 0.000), Pr at (0.000, 0.500, 0.738), Ge at (0.000, 0.500, 0.373), Ge at (0.500, 0.500, 0.000), Pd at (0.000, 0.000, 0.500), Pd at (0.000, 0.500, 0.142) and Pd at (0.500, 0.500, 0.500).


(12)
First-principles (GGA-PBE) data for a relaxed KMg2Sb crystal, as listed in Alexandria via LeMat-Bulk.

The final energy is -2.108 eV/atom.

The space group is P4/mmm (No. 123) and the conventional cell measures 4.072, 4.072 and 7.327 Å, with angles of 90.00, 90.00 and 90.00 degrees. The inequivalent atoms are K at (0.000, 0.000, 0.000), Mg at (0.500, 0.500, 0.302) and Sb at (0.000, 0.000, 0.500).


(13)
First-principles (GGA-PBE) data for a relaxed SiSbAu4 crystal, as listed in Alexandria via LeMat-Bulk.

As for the polymorph energy (0 for the lowest one): 0 meV per atom.

The space group is P-1 (No. 2) and the conventional cell measures 4.231, 6.940 and 9.293 Å, with angles of 86.52, 77.17 and 73.56 degrees. The inequivalent atoms are Si at (0.035, 0.112, 0.294), Sb at (0.192, 0.372, 0.740), Au at (0.071, 0.303, 0.050), Au at (0.147, 0.782, 0.436), Au at (0.351, 0.971, 0.862) and Au at (0.398, 0.348, 0.352).


(14)
First-principles (GGA-PBE) data for a relaxed ZrTaVRe crystal, as listed in Alexandria via LeMat-Bulk.

Its formation energy from the elements is -0.12 eV/atom.

The space group is F-43m (No. 216) and the conventional cell measures 6.497, 6.497 and 6.497 Å, with angles of 90.00, 90.00 and 90.00 degrees. The inequivalent atoms are Zr at (0.000, 0.000, 0.000), Ta at (0.000, 0.000, 0.500), V at (0.250, 0.250, 0.750) and Re at (0.250, 0.250, 0.250).


(15)
First-principles (GGA-PBE) data for a relaxed Sc3CuSi crystal, as listed in Alexandria via LeMat-Bulk.

As for the polymorph energy (0 for the lowest one): 0 meV per atom.

The space group is Pm-3m (No. 221) and the conventional cell measures 4.833, 4.833 and 4.833 Å, with angles of 90.00, 90.00 and 90.00 degrees. The inequivalent atoms are Sc at (0.000, 0.000, 0.500), Cu at (0.000, 0.000, 0.000) and Si at (0.500, 0.500, 0.500).


(16)
First-principles (GGA-PBE) data for a relaxed Ca2P6Pd21 crystal, as listed in Alexandria via LeMat-Bulk.

Its formation energy from the elements is -0.60 eV/atom.

The space group is Fm-3m (No. 225) and the conventional cell measures 12.200, 12.200 and 12.200 Å, with angles of 90.00, 90.00 and 90.00 degrees. The inequivalent atoms are Ca at (0.250, 0.250, 0.250), P at (0.000, 0.000, 0.238), Pd at (0.000, 0.000, 0.500), Pd at (0.000, 0.172, 0.328) and Pd at (0.114, 0.114, 0.114).


(17)
First-principles (GGA-PBE) data for a relaxed SrTb2NpN4 crystal, as listed in Alexandria via LeMat-Bulk.

The final energy is -8.214 eV/atom.

The space group is Cmcm (No. 63) and the conventional cell measures 3.565, 12.326 and 12.489 Å, with angles of 90.00, 90.00 and 90.00 degrees. The inequivalent atoms are Sr at (0.000, 0.147, 0.250), Tb at (0.000, 0.370, 0.019), Np at (0.000, 0.120, 0.750), N at (0.000, 0.000, 0.000), N at (0.000, 0.238, 0.616) and N at (0.000, 0.479, 0.250).


(18)
First-principles (GGA-PBE) data for a relaxed AcZnPt4 crystal, as listed in Alexandria via LeMat-Bulk.

As for the polymorph energy (0 for the lowest one): 0 meV per atom. Its formation energy from the elements is -0.74 eV/atom.

The space group is F-43m (No. 216) and the conventional cell measures 7.754, 7.754 and 7.754 Å, with angles of 90.00, 90.00 and 90.00 degrees. The inequivalent atoms are Ac at (0.000, 0.000, 0.000), Zn at (0.250, 0.250, 0.750) and Pt at (0.124, 0.124, 0.376).